Material: Dy2YSn3Pd3
Method: DFT, GGA-PBE
State: relaxed

Structure (extended XYZ):
```
9
Lattice="3.9047 0.0000 0.0000 0.0000 6.6151 3.8124 0.0000 -6.6151 3.8124" Properties=species:S:1:pos:R:3 pbc="T T T"
Dy 0.0000 -3.9500 3.8124
Dy 0.0000 3.9500 3.8124
Y 0.0000 0.0000 4.6046
Sn 1.9523 -1.7297 2.5358
Sn 1.9523 1.7297 2.5358
Sn 1.9523 0.0000 7.1609
Pd 0.0000 0.0000 1.5285
Pd 1.9523 -2.2170 5.3541
Pd 1.9523 2.2170 5.3541
```

Results
DFT total energy: -5.740 eV per atom
SG: No. 38
Total moment: 0.001 μB/atom

Material: NaCd
Method: DFT, GGA-PBE
State: relaxed

Structure (extended XYZ):
```
4
Lattice="4.5059 0.0000 0.0000 -2.2530 3.9022 0.0000 0.0000 0.0000 6.6791" Properties=species:S:1:pos:R:3 pbc="T T T"
Na 0.0000 0.0000 0.0000
Na 0.0000 0.0000 3.3396
Cd 0.0000 2.6015 1.6698
Cd 2.2530 1.3007 5.0094
```

Results
DFT total energy: -0.966 eV per atom
SG: No. 194

Material: HfCuGe2
Method: DFT, GGA-PBE
State: relaxed

Structure (extended XYZ):
```
16
Lattice="6.5423 0.0000 0.0000 0.0000 6.5423 0.0000 0.0000 0.0000 6.5423" Properties=species:S:1:pos:R:3 pbc="T T T"
Hf 0.0000 0.0000 0.0000
Hf 0.0000 3.2711 3.2711
Hf 3.2711 0.0000 3.2711
Hf 3.2711 3.2711 0.0000
Cu 1.6356 1.6356 4.9067
Cu 1.6356 4.9067 1.6356
Cu 4.9067 1.6356 1.6356
Cu 4.9067 4.9067 4.9067
Ge 0.0000 0.0000 3.2711
Ge 0.0000 3.2711 0.0000
Ge 1.6356 1.6356 1.6356
Ge 1.6356 4.9067 4.9067
Ge 3.2711 0.0000 0.0000
Ge 3.2711 3.2711 3.2711
Ge 4.9067 1.6356 4.9067
Ge 4.9067 4.9067 1.6356
```

Results
DFT total energy: -5.597 eV per atom
SG: No. 216
Total moment: 0.001 μB/atom

Material: Hf4Sc2Fe3N3
Method: DFT, GGA-PBE
State: relaxed

Structure (extended XYZ):
```
24
Lattice="4.7149 -2.7214 0.0000 4.7149 2.7214 0.0000 -3.2483 0.0000 13.2718" Properties=species:S:1:pos:R:3 pbc="T T T"
Hf 0.7720 0.4842 1.2657
Hf 0.7650 0.4494 5.3702
Hf -0.8521 -0.4842 7.9016
Hf -0.8591 -0.4494 12.0060
Hf 7.0406 0.4494 1.2657
Hf 7.0336 0.4842 5.3702
Hf 5.4165 -0.4494 7.9016
Hf 5.4095 -0.4842 12.0061
Sc 3.9279 0.4548 1.5667
Sc 3.8778 0.4548 5.0691
Sc 2.3038 -0.4548 8.2026
Sc 2.2536 -0.4548 11.7050
Fe 2.2787 2.3154 9.9538
Fe -0.0300 0.8668 9.9523
Fe 1.5942 -0.8668 3.3164
Fe 4.5873 0.8668 9.9553
Fe 6.2115 -0.8668 3.3195
Fe 3.9028 -2.3154 3.3179
N 2.3574 1.3607 0.0000
N 2.3044 1.3611 6.6359
N 5.5012 1.3611 0.0000
N 0.7333 -1.3607 6.6359
N 3.9286 -1.3611 0.0000
N 3.8771 -1.3611 6.6359
```

Results
DFT total energy: -9.395 eV per atom
SG: No. 15
Total moment: 0.212 μB/atom

Material: BaBeFe
Method: DFT, GGA-PBE
State: relaxed

Structure (extended XYZ):
```
12
Lattice="4.1896 0.0000 0.0000 0.0000 17.8942 0.0000 0.0000 0.0000 4.2148" Properties=species:S:1:pos:R:3 pbc="T T T"
Ba 0.0000 1.9202 1.0537
Ba 0.0000 15.9740 3.1611
Ba 2.0948 7.0269 3.1611
Ba 2.0948 10.8673 1.0537
Be 0.0000 4.4754 3.1611
Be 0.0000 13.4189 1.0537
Be 2.0948 4.4717 1.0537
Be 2.0948 13.4225 3.1611
Fe 0.0000 4.8904 1.0537
Fe 0.0000 13.0038 3.1611
Fe 2.0948 4.0567 3.1611
Fe 2.0948 13.8375 1.0537
```

Results
Relative energy among the computed polymorphs: 0.000 eV/atom
DFT total energy: -4.312 eV per atom
SG: No. 63
Total moment: 0.606 μB/atom

Material: Sm2CuS3
Method: DFT, GGA-PBE
State: relaxed

Structure (extended XYZ):
```
12
Lattice="1.9152 -6.3677 0.0000 1.9152 6.3677 0.0000 0.0000 0.0000 10.4284" Properties=species:S:1:pos:R:3 pbc="T T T"
Sm 0.0000 0.0000 0.0000
Sm 0.0000 0.0000 5.2142
Sm 1.9152 3.3483 7.8213
Sm 1.9152 -3.3483 2.6071
Cu 1.9152 0.2924 2.6071
Cu 1.9152 -0.2924 7.8213
S 1.9152 5.2284 2.6071
S 1.9152 1.8606 0.8635
S 1.9152 1.8606 4.3507
S 1.9152 -1.8606 6.0777
S 1.9152 -1.8606 9.5649
S 1.9152 -5.2284 7.8213
```

Results
DFT total energy: -5.813 eV per atom
SG: No. 63
Total moment: 0.000 μB/atom

Material: Cs2NbAgCl6
Method: DFT, GGA-PBE
State: relaxed

Structure (extended XYZ):
```
10
Lattice="6.4408 -3.7206 0.0000 6.4408 3.7206 0.0000 -4.2907 0.0000 6.0739" Properties=species:S:1:pos:R:3 pbc="T T T"
Cs 2.1497 0.0000 1.5184
Cs 6.4412 0.0000 4.5555
Nb -2.1453 0.0000 3.0370
Ag 6.4408 0.0000 0.0000
Cl 3.2670 1.9463 4.4835
Cl -0.0990 0.0000 4.4902
Cl 5.3239 1.9463 1.5904
Cl 3.2670 -1.9463 4.4835
Cl 8.6899 0.0000 1.5837
Cl 5.3239 -1.9463 1.5904
```

Results
DFT total energy: -3.935 eV per atom
SG: No. 12
Total moment: 0.200 μB/atom

Material: TmAs
Method: DFT, GGA-PBE
State: relaxed

Structure (extended XYZ):
```
8
Lattice="6.3875 0.0000 0.0000 0.0000 6.3875 0.0000 0.0000 0.0000 6.3875" Properties=species:S:1:pos:R:3 pbc="T T T"
Tm 0.0000 0.0000 0.0000
Tm 0.0000 3.1938 3.1938
Tm 3.1938 0.0000 3.1938
Tm 3.1938 3.1938 0.0000
As 1.5969 1.5969 1.5969
As 1.5969 4.7906 4.7906
As 4.7906 1.5969 4.7906
As 4.7906 4.7906 1.5969
```

Results
DFT total energy: -5.541 eV per atom
SG: No. 216
Total moment: 0.000 μB/atom

Material: RbGd2Cu3Te5
Method: DFT, GGA-PBE
State: relaxed

Structure (extended XYZ):
```
22
Lattice="2.1908 -7.6957 0.0000 2.1908 7.6957 0.0000 0.0000 0.0000 18.2665" Properties=species:S:1:pos:R:3 pbc="T T T"
Rb 2.1908 6.8358 13.6999
Rb 2.1908 -6.8358 4.5666
Gd 2.1908 4.7471 1.6571
Gd 2.1908 4.7471 7.4761
Gd 2.1908 -4.7471 10.7904
Gd 2.1908 -4.7471 16.6094
Cu 2.1908 2.4754 13.6999
Cu 2.1908 1.3294 0.3922
Cu 2.1908 1.3294 8.7410
Cu 2.1908 -1.3294 9.5255
Cu 2.1908 -1.3294 17.8743
Cu 2.1908 -2.4754 4.5666
Te 2.1908 5.2215 10.4883
Te 2.1908 5.2215 16.9114
Te 2.1908 3.8342 4.5666
Te 2.1908 0.8402 11.3274
Te 2.1908 0.8402 16.0724
Te 2.1908 -0.8402 2.1941
Te 2.1908 -0.8402 6.9391
Te 2.1908 -3.8342 13.6999
Te 2.1908 -5.2215 1.3551
Te 2.1908 -5.2215 7.7782
```

Results
DFT total energy: -4.222 eV per atom
SG: No. 63
Total moment: 0.000 μB/atom

Material: AsPbW4N2
Method: DFT, GGA-PBE
State: relaxed

Structure (extended XYZ):
```
8
Lattice="3.0466 0.0000 0.0000 -1.5233 2.6384 0.0000 0.0000 0.0000 14.0765" Properties=species:S:1:pos:R:3 pbc="T T T"
As 0.0000 0.0000 0.0000
Pb 0.0000 1.7589 7.0382
W 0.0000 0.0000 4.5599
W 0.0000 0.0000 9.5166
W 0.0000 1.7589 1.9704
W 0.0000 1.7589 12.1060
N 1.5233 0.8795 3.3110
N 1.5233 0.8795 10.7655
```

Results
DFT total energy: -9.094 eV per atom
SG: No. 187
Total moment: 0.000 μB/atom

Material: Y4CoAsC2
Method: DFT, GGA-PBE
State: relaxed

Structure (extended XYZ):
```
8
Lattice="3.6220 0.0000 0.0000 -1.8110 3.1367 0.0000 0.0000 0.0000 13.9096" Properties=species:S:1:pos:R:3 pbc="T T T"
Y 0.0000 0.0000 2.0506
Y 0.0000 0.0000 11.8591
Y 1.8110 1.0456 4.7822
Y 1.8110 1.0456 9.1275
Co 1.8110 1.0456 0.0000
As 0.0000 0.0000 6.9548
C 0.0000 2.0912 3.4373
C 0.0000 2.0912 10.4724
```

Results
DFT total energy: -7.336 eV per atom
SG: No. 187
Total moment: 0.117 μB/atom